This record from Alexandria describes a geometry-optimized Nd4ZnCo structure. The functional is PBE.

abc: 6.1329 8.0504 8.2085
angles: 113.20 104.29 104.97
Closest atoms and distances in Å follow each position.
Positions (direct):
Zn (0.6259, 0.3759, 0.7518)  8 Nd 3.13-3.26
Zn (0.3741, 0.6241, 0.2482)  8 Nd 3.13-3.26
Nd (0.0355, 0.2087, 0.8686)  2 Co 2.74-2.82
Nd (0.3497, 0.9338, 0.6293)  2 Co 3.08-3.18, 2 Zn 3.13-3.21, 1 Nd 3.43
Nd (0.2204, 0.3045, 0.3707)  2 Co 3.08-3.18, 2 Zn 3.13-3.21, 1 Nd 3.43
Nd (0.6503, 0.0662, 0.3707)  2 Co 3.08-3.18, 2 Zn 3.13-3.21, 1 Nd 3.43
Nd (0.6669, 0.3401, 0.1314)  2 Co 2.74-2.82
Nd (0.3331, 0.6599, 0.8686)  2 Co 2.74-2.82
Nd (0.7796, 0.6955, 0.6293)  2 Co 3.08-3.18, 2 Zn 3.13-3.21, 1 Nd 3.43
Nd (0.9645, 0.7913, 0.1314)  2 Co 2.74-2.82
Co (0.7530, 0.0030, 0.0059)  4 Nd 2.74-2.82, 2 Co 3.07
Co (0.2470, 0.9970, 0.9941)  4 Nd 2.74-2.82, 2 Co 3.07

- magnetic moment (μB/cell) = 0.00
- E above lowest polymorph (eV/atom) = 0.061
- symmetry = C2/c
- density of states at the Fermi level (states/eV per cell) = 12.971